# U2MoP, optimized geometry, DFT GGA-PBE
# Magnetic moment = 3.0 μB per formula unit
# Calculated density = 12.78 g cm⁻³
# Calculated formation energy = 161 meV/atom
# DOS at the Fermi energy = 2.783 states/eV/atom
data_U2MoP
_chemical_formula_sum 'U6 Mo3 P3'
_space_group_name_H-M_alt 'R -3 m'
_space_group_IT_number 166
_space_group_name_Hall '-R 3 2"'
_cell_length_a 4.9475
_cell_length_b 4.9475
_cell_length_c 11.0876
_cell_angle_alpha 90.00
_cell_angle_beta 90.00
_cell_angle_gamma 120.00
loop_
_atom_site_label
_atom_site_fract_x
_atom_site_fract_y
_atom_site_fract_z
_atom_site_occupancy
U1 0.0000 0.0000 0.2476 1
Mo1 0.0000 0.0000 0.5000 1
P1 0.0000 0.0000 0.0000 1